1.
The following is a DFT calculation (PBE) of an optimized crystal structure of In2ReMo.

Computed properties:
**Calculated density**: 11.89 Mg/m³
**E_form**: 0.7185 eV/atom
**Space group**: Fm-3m (225)

Unit cell a=6.5883 b=6.5883 c=6.5883 alpha=90.00 beta=90.00 gamma=90.00
Closest atoms and distances in Å follow each position.
Fractional positions:
In 0.2500 0.2500 0.2500  4 Mo 2.85, 4 Re 2.85
In 0.2500 0.2500 0.7500  4 Mo 2.85, 4 Re 2.85
In 0.2500 0.7500 0.2500  4 Mo 2.85, 4 Re 2.85
In 0.2500 0.7500 0.7500  4 Mo 2.85, 4 Re 2.85
In 0.7500 0.2500 0.2500  4 Mo 2.85, 4 Re 2.85
In 0.7500 0.2500 0.7500  4 Mo 2.85, 4 Re 2.85
In 0.7500 0.7500 0.2500  4 Mo 2.85, 4 Re 2.85
In 0.7500 0.7500 0.7500  4 Mo 2.85, 4 Re 2.85
Re 0.0000 0.0000 0.0000  8 In 2.85
Re 0.0000 0.5000 0.5000  8 In 2.85
Re 0.5000 0.0000 0.5000  8 In 2.85
Re 0.5000 0.5000 0.0000  8 In 2.85
Mo 0.0000 0.0000 0.5000  8 In 2.85
Mo 0.0000 0.5000 0.0000  8 In 2.85
Mo 0.5000 0.0000 0.0000  8 In 2.85
Mo 0.5000 0.5000 0.5000  8 In 2.85

2.
The following is a DFT calculation (PBE) of an optimized crystal structure of InReMo2.

Computed properties:
**Calculated density**: 12.16 Mg/m³
**E_form**: 0.3222 eV/atom
**Space group**: R-3m (166)

Unit cell a=2.8861 b=2.8861 c=27.9810 alpha=90.00 beta=90.00 gamma=120.00
Closest atoms and distances in Å follow each position.
Fractional positions:
In 0.0000 0.0000 0.0000  6 In 2.89, 6 Mo 2.98
In 0.3333 0.6667 0.6667  6 In 2.89, 6 Mo 2.98
In 0.6667 0.3333 0.3333  6 In 2.89, 6 Mo 2.98
Re 0.0000 0.0000 0.5000  6 Mo 2.75, 6 Re 2.89
Re 0.3333 0.6667 0.1667  6 Mo 2.75, 6 Re 2.89
Re 0.6667 0.3333 0.8333  6 Mo 2.75, 6 Re 2.89
Mo 0.0000 0.0000 0.2449  3 Re 2.75, 6 Mo 2.89, 3 In 2.98
Mo 0.0000 0.0000 0.7551  3 Re 2.75, 6 Mo 2.89, 3 In 2.98
Mo 0.3333 0.6667 0.4218  3 Re 2.75, 6 Mo 2.89, 3 In 2.98
Mo 0.3333 0.6667 0.9116  3 Re 2.75, 6 Mo 2.89, 3 In 2.98
Mo 0.6667 0.3333 0.0884  3 Re 2.75, 6 Mo 2.89, 3 In 2.98
Mo 0.6667 0.3333 0.5782  3 Re 2.75, 6 Mo 2.89, 3 In 2.98

3.
The following is a DFT calculation (PBE) of an optimized crystal structure of In2ReMo.

Computed properties:
**Calculated density**: 11.75 Mg/m³
**E_form**: 0.6195 eV/atom
**Space group**: Pmmm (47)

Unit cell a=3.3176 b=4.6231 c=4.7171 alpha=90.00 beta=90.00 gamma=90.00
Closest atoms and distances in Å follow each position.
Fractional positions:
In 0.0000 0.0000 0.0000  4 Mo 2.85, 4 In 2.88
In 0.5000 0.0000 0.5000  4 Re 2.85, 4 In 2.88
Re 0.0000 0.5000 0.5000  4 In 2.85, 4 Mo 2.88
Mo 0.5000 0.5000 0.0000  4 In 2.85, 4 Re 2.88

4.
The following is a DFT calculation (PBE) of an optimized crystal structure of InReMo2.

Computed properties:
**Calculated density**: 12.32 Mg/m³
**E_form**: 0.4268 eV/atom
**Space group**: Cmmm (65)

Unit cell a=5.5884 b=8.2219 c=2.8926 alpha=90.00 beta=90.00 gamma=90.00
Closest atoms and distances in Å follow each position.
Fractional positions:
In 0.0000 0.0000 0.0000  2 Re 2.79, 8 Mo 2.88, 2 In 2.89
In 0.5000 0.5000 0.0000  2 Re 2.79, 8 Mo 2.88, 2 In 2.89
Re 0.0000 0.5000 0.0000  2 In 2.79, 8 Mo 2.88, 2 Re 2.89
Re 0.5000 0.0000 0.0000  2 In 2.79, 8 Mo 2.88, 2 Re 2.89
Mo 0.2500 0.2500 0.5000  4 Mo 2.79-2.89, 4 In 2.88, 4 Re 2.88
Mo 0.2500 0.7500 0.5000  4 Mo 2.79-2.89, 4 In 2.88, 4 Re 2.88
Mo 0.7500 0.2500 0.5000  4 Mo 2.79-2.89, 4 In 2.88, 4 Re 2.88
Mo 0.7500 0.7500 0.5000  4 Mo 2.79-2.89, 4 In 2.88, 4 Re 2.88

5.
The following is a DFT calculation (PBE) of an optimized crystal structure of InReMo2.

Computed properties:
**Calculated density**: 12.26 Mg/m³
**E_form**: 0.3535 eV/atom
**Space group**: Pm (6)

Unit cell a=2.7897 b=4.4711 c=5.4900 alpha=90.00 beta=102.95 gamma=90.00
Closest atoms and distances in Å follow each position.
Fractional positions:
In 0.0000 0.0000 0.0000  6 Mo 2.78-3.03, 2 In 2.79, 2 Re 2.84
Re 0.2394 0.5000 0.7308  4 Mo 2.70-2.83, 2 Re 2.79, 2 In 2.84
Mo 0.4624 0.0000 0.5039  2 Re 2.70, 4 Mo 2.77-2.79, 2 In 2.78-2.80
Mo 0.6684 0.5000 0.2484  4 Mo 2.77-2.79, 2 Re 2.77-2.83, 4 In 2.88-3.03

6.
The following is a DFT calculation (PBE) of an optimized crystal structure of In2ReMo.

Computed properties:
**Calculated density**: 11.11 Mg/m³
**E_form**: 0.3315 eV/atom
**Space group**: R3m (160)

Unit cell a=3.0671 b=3.0671 c=28.1665 alpha=90.00 beta=90.00 gamma=120.00
Closest atoms and distances in Å follow each position.
Fractional positions:
In 0.0000 0.0000 0.0000  3 Re 2.99, 9 In 3.07-3.21
In 0.0000 0.0000 0.2384  3 Mo 3.01, 9 In 3.07-3.21
In 0.3333 0.6667 0.6667  3 Re 2.99, 9 In 3.07-3.21
In 0.3333 0.6667 0.9050  3 Mo 3.01, 9 In 3.07-3.21
In 0.6667 0.3333 0.3333  3 Re 2.99, 9 In 3.07-3.21
In 0.6667 0.3333 0.5717  3 Mo 3.01, 9 In 3.07-3.21
Re 0.0000 0.0000 0.7521  3 Mo 2.58
Re 0.3333 0.6667 0.4187  3 Mo 2.58
Re 0.6667 0.3333 0.0854  3 Mo 2.58
Mo 0.0000 0.0000 0.4854  3 Re 2.58
Mo 0.3333 0.6667 0.1521  3 Re 2.58
Mo 0.6667 0.3333 0.8187  3 Re 2.58

7.
The following is a DFT calculation (PBE) of an optimized crystal structure of InReMo3.

Computed properties:
**Calculated density**: 9.02 Mg/m³
**E_form**: 1.4645 eV/atom
**Space group**: Pm-3m (221)

Unit cell a=4.7682 b=4.7682 c=4.7682 alpha=90.00 beta=90.00 gamma=90.00
Closest atoms and distances in Å follow each position.
Fractional positions:
In 0.0000 0.0000 0.0000  12 Mo 3.37
Re 0.5000 0.5000 0.5000  6 Mo 2.38
Mo 0.0000 0.5000 0.5000  2 Re 2.38
Mo 0.5000 0.0000 0.5000  2 Re 2.38
Mo 0.5000 0.5000 0.0000  2 Re 2.38

8.
The following is a DFT calculation (PBE) of an optimized crystal structure of InReMo2.

Computed properties:
**Calculated density**: 12.08 Mg/m³
**E_form**: 0.2241 eV/atom
**Space group**: P4/mmm (123)

Unit cell a=2.9004 b=2.9004 c=8.0525 alpha=90.00 beta=90.00 gamma=90.00
Closest atoms and distances in Å follow each position.
Fractional positions:
In 0.0000 0.0000 0.0000  4 In 2.90, 8 Mo 3.03
Re 0.0000 0.0000 0.5000  8 Mo 2.73, 4 Re 2.90
Mo 0.5000 0.5000 0.2765  4 Re 2.73, 4 Mo 2.90, 4 In 3.03
Mo 0.5000 0.5000 0.7235  4 Re 2.73, 4 Mo 2.90, 4 In 3.03

9.
The following is a DFT calculation (PBE) of an optimized crystal structure of InReMo2.

Computed properties:
**Calculated density**: 12.32 Mg/m³
**E_form**: 0.4205 eV/atom
**Space group**: I4/mmm (139)

Unit cell a=3.9805 b=3.9805 c=8.3827 alpha=90.00 beta=90.00 gamma=90.00
Closest atoms and distances in Å follow each position.
Fractional positions:
In 0.0000 0.0000 0.0000  4 Re 2.81, 8 Mo 2.89
In 0.5000 0.5000 0.5000  4 Re 2.81, 8 Mo 2.89
Re 0.0000 0.0000 0.5000  4 In 2.81, 8 Mo 2.89
Re 0.5000 0.5000 0.0000  4 In 2.81, 8 Mo 2.89
Mo 0.0000 0.5000 0.2500  4 Mo 2.81, 4 Re 2.89, 4 In 2.89
Mo 0.0000 0.5000 0.7500  4 Mo 2.81, 4 In 2.89, 4 Re 2.89
Mo 0.5000 0.0000 0.2500  4 Mo 2.81, 4 Re 2.89, 4 In 2.89
Mo 0.5000 0.0000 0.7500  4 Mo 2.81, 4 In 2.89, 4 Re 2.89

10.
The following is a DFT calculation (PBE) of an optimized crystal structure of InReMo2.

Computed properties:
**Calculated density**: 12.31 Mg/m³
**E_form**: 0.4161 eV/atom
**Space group**: I-4m2 (119)

Unit cell a=3.9878 b=3.9878 c=8.3622 alpha=90.00 beta=90.00 gamma=90.00
Closest atoms and distances in Å follow each position.
Fractional positions:
In 0.0000 0.0000 0.0000  8 Mo 2.82-2.89, 4 Re 2.89
In 0.5000 0.5000 0.5000  8 Mo 2.82-2.89, 4 Re 2.89
Re 0.0000 0.5000 0.2500  8 Mo 2.82-2.89, 4 In 2.89
Re 0.5000 0.0000 0.7500  8 Mo 2.82-2.89, 4 In 2.89
Mo 0.0000 0.0000 0.5000  4 In 2.82, 4 Mo 2.89, 4 Re 2.89
Mo 0.0000 0.5000 0.7500  4 Re 2.82, 4 In 2.89, 4 Mo 2.89
Mo 0.5000 0.0000 0.2500  4 Re 2.82, 4 In 2.89, 4 Mo 2.89
Mo 0.5000 0.5000 0.0000  4 In 2.82, 4 Mo 2.89, 4 Re 2.89